Record 1
## KBaTc2 (PBE)

Data for a relaxed structure of KBaTc2.

Unit cell a=6.3225 b=6.3225 c=6.3225 alpha=143.19 beta=143.19 gamma=53.04
Element x y z (fractional)
Tc  0.0000  0.0000  0.0000
Tc  0.5000  0.5000  0.0000
K  0.7500  0.2500  0.5000
Ba  0.2500  0.7500  0.5000

Properties
M_tot, Bohr magnetons per cell: 0.00
Calculated formation energy, meV/atom: 1428
Relative energy among the computed polymorphs, eV per atom: 0.8924

Record 2
## KBaTc2 (PBE)

Data for a relaxed structure of KBaTc2.

Unit cell a=8.9494 b=8.9494 c=6.9183 alpha=49.70 beta=49.70 gamma=90.00
Each line ends with the local moment (μB).
Element x y z (fractional)
Tc  0.8750  0.8746  0.7500  1.80
K  0.5000  0.5000  0.0000  0.00
Tc  0.6246  0.1250  0.2500  1.83
K  0.2500  0.7500  0.5000  0.00
Tc  0.3750  0.3754  0.7500  1.83
Ba  0.7500  0.2500  0.5000  -0.03
Tc  0.1254  0.6250  0.2500  1.80
Ba  0.0000  0.0000  0.0000  -0.03

Properties
M_tot, Bohr magnetons per cell: 8.22
Calculated formation energy, meV/atom: 1816
Relative energy among the computed polymorphs, eV per atom: 1.2804

Record 3
## KBa2Tc (PBE)

Data for a relaxed structure of KBa2Tc.

Unit cell a=8.8391 b=8.8391 c=8.8343 alpha=59.98 beta=59.98 gamma=90.00
Element x y z (fractional)
Ba  0.8684  0.1250  0.2500
Ba  0.8816  0.6250  0.2500
Ba  0.8750  0.1184  0.7500
Tc  0.7500  0.2500  0.5000
K  0.5000  0.5000  0.0000
K  0.2500  0.7500  0.5000
Ba  0.3750  0.1316  0.7500
Tc  0.0000  0.0000  0.0000

Properties
M_tot, Bohr magnetons per cell: 0.00
Calculated formation energy, meV/atom: 790
Relative energy among the computed polymorphs, eV per atom: 0.1426

Record 4
## KBaTc2 (PBE)

Data for a relaxed structure of KBaTc2.

Unit cell a=5.4769 b=5.4769 c=5.4769 alpha=60.00 beta=60.00 gamma=60.00
Each line ends with the local moment (μB).
Element x y z (fractional)
Tc  0.7500  0.7500  0.7500  2.58
Ba  0.5000  0.5000  0.5000  -0.02
K  0.0000  0.0000  0.0000  0.01
Tc  0.2500  0.2500  0.2500  2.58

Properties
M_tot, Bohr magnetons per cell: 5.84
Calculated formation energy, meV/atom: 1836
Relative energy among the computed polymorphs, eV per atom: 1.3009

Record 5
## KBaTc2 (PBE)

Data for a relaxed structure of KBaTc2.

Unit cell a=6.3018 b=6.3005 c=2.8938 alpha=62.72 beta=89.97 gamma=113.25
Element x y z (fractional)
Tc  0.0000  0.5000  0.5000
Tc  0.0000  0.0000  0.0000
Ba  0.5000  0.5000  0.0000
K  0.5000  0.0000  0.5000

Properties
M_tot, Bohr magnetons per cell: 0.00
Calculated formation energy, meV/atom: 1463
Relative energy among the computed polymorphs, eV per atom: 0.9280

Record 6
## KBa2Tc (PBE)

Data for a relaxed structure of KBa2Tc.

Unit cell a=6.8307 b=6.8307 c=6.8307 alpha=134.82 beta=134.82 gamma=65.81
Each line ends with the local moment (μB).
Element x y z (fractional)
Ba  0.0000  0.0000  0.0000  -0.16
K  0.5000  0.5000  0.0000  -0.03
Ba  0.2500  0.7500  0.5000  -0.15
Tc  0.7500  0.2500  0.5000  2.41

Properties
M_tot, Bohr magnetons per cell: 1.81
Calculated formation energy, meV/atom: 998
Relative energy among the computed polymorphs, eV per atom: 0.3501

Record 7
## KBaTc3 (PBE)

Data for a relaxed structure of KBaTc3.

Unit cell a=5.3098 b=5.3098 c=5.3098 alpha=90.00 beta=90.00 gamma=90.00
Each line ends with the local moment (μB).
Element x y z (fractional)
Tc  0.0000  0.0000  0.5000  2.13
Tc  0.0000  0.5000  0.0000  2.45
Tc  0.5000  0.0000  0.0000  2.50
K  0.5000  0.5000  0.5000  0.00
Ba  0.0000  0.0000  0.0000  -0.07

Properties
M_tot, Bohr magnetons per cell: 7.77
Calculated formation energy, meV/atom: 2657
Relative energy among the computed polymorphs, eV per atom: 0.0000

Record 8
## KBaTc2 (PBE)

Data for a relaxed structure of KBaTc2.

Unit cell a=6.0610 b=6.0610 c=3.1893 alpha=90.00 beta=90.00 gamma=90.00
Each line ends with the local moment (μB).
Element x y z (fractional)
Tc  0.0000  0.0000  0.0000  2.64
Ba  0.5000  0.0000  0.5000  -0.09
K  0.0000  0.5000  0.5000  0.02
Tc  0.5000  0.5000  0.0000  2.64

Properties
M_tot, Bohr magnetons per cell: 5.96
Calculated formation energy, meV/atom: 1777
Relative energy among the computed polymorphs, eV per atom: 1.2413